# Sm2ThTe4

A geometry-optimized Sm2ThTe4 structure (PBE, the Alexandria database).

Cell and atoms, written as POSCAR:
```
Sm2ThTe4
1.0
4.416 0.000 0.000
0.000 7.168 -2.650
0.000 0.192 7.640
Th Sm Te
1 2 4
direct
0.000 0.000 0.000
0.500 0.000 0.500
0.500 0.500 0.000
0.500 0.258 0.258
0.000 0.259 0.741
0.500 0.742 0.742
0.000 0.741 0.259
```

Values from the calculation:
V   34.87 Å³ per atom
ΔE to the lowest computed polymorph   0.00 eV/f.u.
Formation energy from raw total energies   -1.332 eV per atom
Energy   -38.75 eV/cell

# SmThTe2

A geometry-optimized SmThTe2 structure (PBE, the Alexandria database).

Cell and atoms, written as POSCAR:
```
SmThTe2
1.0
-2.094 -2.862 -2.475
2.213 -2.555 -2.696
0.703 -7.100 3.837
Th Sm Te
1 1 2
direct
0.500 0.500 0.500
0.000 0.000 0.000
0.748 0.748 0.756
0.252 0.252 0.244
```

Values from the calculation:
V   31.20 Å³ per atom
ΔE to the lowest computed polymorph   0.05 eV/f.u.
Formation energy from raw total energies   -1.187 eV per atom
Energy   -23.17 eV/cell

# Sm3Th2Te8

A geometry-optimized Sm3Th2Te8 structure (PBE, the Alexandria database).

Cell and atoms, written as POSCAR:
```
Sm3Th2Te8
1.0
5.397 0.000 0.000
0.000 9.303 -5.351
0.000 -0.856 9.286
Sm Te Th
3 8 2
direct
0.000 0.272 0.000
0.000 0.728 0.000
0.500 0.000 0.000
0.000 0.120 0.239
0.500 0.631 0.752
0.500 0.121 0.752
0.500 0.879 0.248
0.000 0.880 0.761
0.000 0.632 0.264
0.500 0.369 0.248
0.000 0.368 0.736
0.500 0.746 0.492
0.500 0.254 0.508
```

Values from the calculation:
V   33.96 Å³ per atom
Formation energy from raw total energies   -1.186 eV per atom
Energy   -69.55 eV/cell

# Sm3ThTe6

A geometry-optimized Sm3ThTe6 structure (PBE, the Alexandria database).

Cell and atoms, written as POSCAR:
```
Sm3ThTe6
1.0
4.391 0.000 0.000
0.000 11.954 -4.066
0.000 0.077 12.990
Te Th Sm
12 2 6
direct
0.750 0.810 0.749
0.750 0.916 0.104
0.250 0.514 0.378
0.750 0.752 0.283
0.250 0.190 0.251
0.250 0.248 0.717
0.750 0.112 0.467
0.250 0.084 0.896
0.750 0.486 0.622
0.250 0.604 0.932
0.750 0.396 0.068
0.250 0.888 0.533
0.750 0.045 0.697
0.250 0.955 0.303
0.750 0.679 0.503
0.750 0.155 0.075
0.250 0.576 0.164
0.750 0.424 0.836
0.250 0.845 0.925
0.250 0.321 0.497
```

Values from the calculation:
V   34.16 Å³ per atom
ΔE to the lowest computed polymorph   0.00 eV/f.u.
Formation energy from raw total energies   -1.354 eV per atom
Energy   -107.94 eV/cell